[1]
This record from Alexandria via LeMat-Bulk describes an optimized crystal structure of Hf2BeCoS. The functional is GGA-PBE.

Structure (CIF):
```
data_Hf2BeCoS
_chemical_formula_sum 'Hf2 Be1 Co1 S1'
_space_group_name_H-M_alt 'P 1'
_space_group_IT_number 1
_space_group_name_Hall 'P 1'
_cell_length_a 4.7714
_cell_length_b 3.7277
_cell_length_c 4.7714
_cell_angle_alpha 90.00
_cell_angle_beta 90.00
_cell_angle_gamma 90.00
loop_
_atom_site_label
_atom_site_type_symbol
_atom_site_fract_x
_atom_site_fract_y
_atom_site_fract_z
_atom_site_occupancy
Hf1 Hf 0.5000 0.0000 0.0000 1
Hf2 Hf 0.0000 0.0000 0.5000 1
Co1 Co 0.5000 0.5000 0.5000 1
Be1 Be 0.0000 0.5000 0.0000 1
S1 S 0.0000 0.0000 0.0000 1
```

Results
Calculated volume: 84.9 Å³/cell
Uncorrected energy: -6.9175 eV/atom
Density of states at the Fermi level: 2.77 states/eV per cell
Crystal system: tetragonal

[2]
This record from Alexandria via LeMat-Bulk describes an optimized crystal structure of CsTi6Se8. The functional is GGA-PBE.

Structure (CIF):
```
data_CsTi6Se8
_chemical_formula_sum 'Cs1 Ti6 Se8'
_space_group_name_H-M_alt 'P 1'
_space_group_IT_number 1
_space_group_name_Hall 'P 1'
_cell_length_a 10.0633
_cell_length_b 10.0633
_cell_length_c 3.5912
_cell_angle_alpha 90.00
_cell_angle_beta 90.00
_cell_angle_gamma 120.00
loop_
_atom_site_label
_atom_site_type_symbol
_atom_site_fract_x
_atom_site_fract_y
_atom_site_fract_z
_atom_site_occupancy
Se1 Se 0.0508 0.6951 0.7532 1
Se2 Se 0.3557 0.0508 0.2468 1
Se3 Se 0.3049 0.3557 0.7532 1
Se4 Se 0.6443 0.9492 0.7532 1
Se5 Se 0.6951 0.6443 0.2468 1
Se6 Se 0.6667 0.3333 0.7506 1
Se7 Se 0.3333 0.6667 0.2494 1
Se8 Se 0.9492 0.3049 0.2468 1
Ti1 Ti 0.8687 0.5081 0.2511 1
Ti2 Ti 0.1313 0.4919 0.7489 1
Ti3 Ti 0.4919 0.3607 0.2511 1
Ti4 Ti 0.3607 0.8687 0.7489 1
Ti5 Ti 0.6393 0.1313 0.2511 1
Ti6 Ti 0.5081 0.6393 0.7489 1
Cs1 Cs 0.0000 0.0000 0.5000 1
```

Results
Calculated volume: 315.0 Å³/cell
Uncorrected energy: -6.3004 eV/atom
Density of states at the Fermi level: 7.17 states/eV per cell
Crystal system: trigonal

[3]
This record from Alexandria via LeMat-Bulk describes an optimized crystal structure of ReBi3C. The functional is GGA-PBE.

Structure (CIF):
```
data_ReBi3C
_chemical_formula_sum 'Re1 Bi3 C1'
_space_group_name_H-M_alt 'P 1'
_space_group_IT_number 1
_space_group_name_Hall 'P 1'
_cell_length_a 4.8619
_cell_length_b 4.8619
_cell_length_c 4.8619
_cell_angle_alpha 90.00
_cell_angle_beta 90.00
_cell_angle_gamma 90.00
loop_
_atom_site_label
_atom_site_type_symbol
_atom_site_fract_x
_atom_site_fract_y
_atom_site_fract_z
_atom_site_occupancy
Bi1 Bi 0.0000 0.5000 0.0000 1
Bi2 Bi 0.5000 0.0000 0.0000 1
Bi3 Bi 0.0000 0.0000 0.5000 1
C1 C 0.0000 0.0000 0.0000 1
Re1 Re 0.5000 0.5000 0.5000 1
```

Results
Calculated volume: 114.9 Å³/cell
Energy of formation from the pure elements: 1.66 eV/atom
Energy above the most stable polymorph in this dataset: 0 meV per atom
Density of states at the Fermi level: 3.76 states/eV per cell
Crystal system: cubic

[4]
This record from Alexandria via LeMat-Bulk describes an optimized crystal structure of InGeSbTe. The functional is GGA-PBE.

Structure (CIF):
```
data_InGeSbTe
_chemical_formula_sum 'In1 Ge1 Sb1 Te1'
_space_group_name_H-M_alt 'P 1'
_space_group_IT_number 1
_space_group_name_Hall 'P 1'
_cell_length_a 4.2995
_cell_length_b 4.2995
_cell_length_c 9.9849
_cell_angle_alpha 90.52
_cell_angle_beta 101.89
_cell_angle_gamma 120.01
loop_
_atom_site_label
_atom_site_type_symbol
_atom_site_fract_x
_atom_site_fract_y
_atom_site_fract_z
_atom_site_occupancy
Sb1 Sb 0.4307 0.1020 0.5327 1
Te1 Te 0.4771 0.6171 0.0943 1
Ge1 Ge 0.1815 0.4801 0.6616 1
In1 In 0.2397 0.0015 0.2412 1
```

Results
Calculated volume: 155.0 Å³/cell
Uncorrected energy: -3.6971 eV/atom
Crystal system: monoclinic

[5]
This record from Alexandria via LeMat-Bulk describes an optimized crystal structure of RbH. The functional is GGA-PBE.

Structure (CIF):
```
data_RbH
_chemical_formula_sum 'Rb1 H1'
_space_group_name_H-M_alt 'P 1'
_space_group_IT_number 1
_space_group_name_Hall 'P 1'
_cell_length_a 4.2352
_cell_length_b 4.2352
_cell_length_c 4.2352
_cell_angle_alpha 60.00
_cell_angle_beta 60.00
_cell_angle_gamma 60.00
loop_
_atom_site_label
_atom_site_type_symbol
_atom_site_fract_x
_atom_site_fract_y
_atom_site_fract_z
_atom_site_occupancy
Rb1 Rb 0.5000 0.5000 0.5000 1
H1 H 0.0000 0.0000 0.0000 1
```

Results
Calculated volume: 53.7 Å³/cell
Uncorrected energy: -2.3329 eV/atom
Density of states at the Fermi level: 0.00 states/eV per cell
Crystal system: cubic

[6]
This record from Alexandria via LeMat-Bulk describes an optimized crystal structure of Tl5Se2Cl2. The functional is GGA-PBE.

Structure (CIF):
```
data_Tl5Se2Cl2
_chemical_formula_sum 'Tl10 Se4 Cl4'
_space_group_name_H-M_alt 'P 1'
_space_group_IT_number 1
_space_group_name_Hall 'P 1'
_cell_length_a 8.1084
_cell_length_b 9.0374
_cell_length_c 10.7911
_cell_angle_alpha 114.76
_cell_angle_beta 112.07
_cell_angle_gamma 90.00
loop_
_atom_site_label
_atom_site_type_symbol
_atom_site_fract_x
_atom_site_fract_y
_atom_site_fract_z
_atom_site_occupancy
Tl1 Tl 0.1548 0.1500 0.8655 1
Tl2 Tl 0.7184 0.7415 0.7027 1
Tl3 Tl 0.8716 0.1870 0.5000 1
Tl4 Tl 0.7893 0.7845 0.1345 1
Tl5 Tl 0.5157 0.5389 0.2973 1
Tl6 Tl 0.1284 0.6870 0.5000 1
Tl7 Tl 0.4843 0.2415 0.7027 1
Tl8 Tl 0.8452 0.2845 0.1345 1
Tl9 Tl 0.2816 0.0389 0.2973 1
Tl10 Tl 0.2107 0.6500 0.8655 1
Cl1 Cl 0.1512 0.6525 0.2258 1
Cl2 Cl 0.5746 0.1525 0.2258 1
Cl3 Cl 0.4254 0.9267 0.7742 1
Cl4 Cl 0.8488 0.4267 0.7742 1
Se1 Se 0.0000 0.9788 0.0000 1
Se2 Se 0.1441 0.3761 0.5000 1
Se3 Se 0.5000 0.4788 0.0000 1
Se4 Se 0.8559 0.8761 0.5000 1
```

Results
Calculated volume: 653.8 Å³/cell
Uncorrected energy: -3.0317 eV/atom
Density of states at the Fermi level: 7.10 states/eV per cell
Crystal system: orthorhombic

[7]
This record from Alexandria via LeMat-Bulk describes an optimized crystal structure of Pm3HoH8. The functional is GGA-PBE.

Structure (CIF):
```
data_Pm3HoH8
_chemical_formula_sum 'Pm3 Ho1 H8'
_space_group_name_H-M_alt 'P 1'
_space_group_IT_number 1
_space_group_name_Hall 'P 1'
_cell_length_a 5.3403
_cell_length_b 5.3403
_cell_length_c 5.3403
_cell_angle_alpha 90.00
_cell_angle_beta 90.00
_cell_angle_gamma 90.00
loop_
_atom_site_label
_atom_site_type_symbol
_atom_site_fract_x
_atom_site_fract_y
_atom_site_fract_z
_atom_site_occupancy
H1 H 0.2428 0.7572 0.7572 1
H2 H 0.2428 0.7572 0.2428 1
H3 H 0.7572 0.2428 0.2428 1
H4 H 0.7572 0.2428 0.7572 1
H5 H 0.2428 0.2428 0.2428 1
H6 H 0.7572 0.7572 0.7572 1
H7 H 0.2428 0.2428 0.7572 1
H8 H 0.7572 0.7572 0.2428 1
Pm1 Pm 0.5000 0.5000 0.0000 1
Pm2 Pm 0.0000 0.5000 0.5000 1
Pm3 Pm 0.5000 0.0000 0.5000 1
Ho1 Ho 0.0000 0.0000 0.0000 1
```

Results
Calculated volume: 152.3 Å³/cell
Uncorrected energy: -4.4872 eV/atom
Density of states at the Fermi level: 2.10 states/eV per cell
Crystal system: cubic

[8]
This record from Alexandria via LeMat-Bulk describes an optimized crystal structure of Ca2GaBiAs. The functional is GGA-PBE.

Structure (CIF):
```
data_Ca2GaBiAs
_chemical_formula_sum 'Ca4 Ga2 Bi2 As2'
_space_group_name_H-M_alt 'P 1'
_space_group_IT_number 1
_space_group_name_Hall 'P 1'
_cell_length_a 4.4169
_cell_length_b 7.2637
_cell_length_c 9.5181
_cell_angle_alpha 106.12
_cell_angle_beta 90.00
_cell_angle_gamma 90.00
loop_
_atom_site_label
_atom_site_type_symbol
_atom_site_fract_x
_atom_site_fract_y
_atom_site_fract_z
_atom_site_occupancy
Ga1 Ga 0.7500 0.5070 0.2130 1
Ga2 Ga 0.2500 0.4930 0.7870 1
Bi1 Bi 0.2500 0.7388 0.3227 1
Bi2 Bi 0.7500 0.2612 0.6773 1
Ca1 Ca 0.7500 0.7703 0.0077 1
Ca2 Ca 0.2500 0.2385 0.3970 1
Ca3 Ca 0.7500 0.7615 0.6030 1
Ca4 Ca 0.2500 0.2297 0.9923 1
As1 As 0.7500 0.1636 0.1890 1
As2 As 0.2500 0.8364 0.8110 1
```

Results
Calculated volume: 293.4 Å³/cell
Energy of formation from the pure elements: -0.70 eV/atom
Density of states at the Fermi level: 4.18 states/eV per cell
Crystal system: monoclinic

Copy entry 2 word for word.
This record from Alexandria via LeMat-Bulk describes an optimized crystal structure of CsTi6Se8. The functional is GGA-PBE.

Structure (CIF):
```
data_CsTi6Se8
_chemical_formula_sum 'Cs1 Ti6 Se8'
_space_group_name_H-M_alt 'P 1'
_space_group_IT_number 1
_space_group_name_Hall 'P 1'
_cell_length_a 10.0633
_cell_length_b 10.0633
_cell_length_c 3.5912
_cell_angle_alpha 90.00
_cell_angle_beta 90.00
_cell_angle_gamma 120.00
loop_
_atom_site_label
_atom_site_type_symbol
_atom_site_fract_x
_atom_site_fract_y
_atom_site_fract_z
_atom_site_occupancy
Se1 Se 0.0508 0.6951 0.7532 1
Se2 Se 0.3557 0.0508 0.2468 1
Se3 Se 0.3049 0.3557 0.7532 1
Se4 Se 0.6443 0.9492 0.7532 1
Se5 Se 0.6951 0.6443 0.2468 1
Se6 Se 0.6667 0.3333 0.7506 1
Se7 Se 0.3333 0.6667 0.2494 1
Se8 Se 0.9492 0.3049 0.2468 1
Ti1 Ti 0.8687 0.5081 0.2511 1
Ti2 Ti 0.1313 0.4919 0.7489 1
Ti3 Ti 0.4919 0.3607 0.2511 1
Ti4 Ti 0.3607 0.8687 0.7489 1
Ti5 Ti 0.6393 0.1313 0.2511 1
Ti6 Ti 0.5081 0.6393 0.7489 1
Cs1 Cs 0.0000 0.0000 0.5000 1
```

Results
Calculated volume: 315.0 Å³/cell
Uncorrected energy: -6.3004 eV/atom
Density of states at the Fermi level: 7.17 states/eV per cell
Crystal system: trigonal